# 1
Compound: Co3HgTe
Source: Alexandria
Functional: SCAN
Structure: PBEsol geometry

Output
For the density of states at the Fermi level, the calculation gives 3.3 states/eV per cell. As for the total magnetization: 4.90 μB/cell. The value obtained for the uncorrected formation energy is 1.0327 eV per atom. The calculation puts the raw total energy at -152.166 eV for the cell shown.

Lattice parameters (Å, degrees): 4.585 4.585 4.585 90.00 90.00 90.00
Space group Pm-3m (No. 221)
Symmetry-distinct sites (fractional):
Co1 0.000 0.000 0.500 x3
Hg1 0.500 0.500 0.500 x1
Te1 0.000 0.000 0.000 x1

=====

# 2
Compound: TlCoHg
Source: Alexandria
Functional: SCAN
Structure: PBEsol geometry

Output
For the density of states at the Fermi level, the calculation gives 5.7 states/eV per cell. As for the total magnetization: 7.40 μB/cell. The calculation puts the raw total energy at -623.260 eV for the cell shown. Its relative energy among the computed polymorphs is 64.3 meV per atom.

Lattice parameters (Å, degrees): 6.365 6.365 6.365 90.00 90.00 90.00
Space group F-43m (No. 216)
Symmetry-distinct sites (fractional):
Tl1 0.000 0.000 0.000 x4
Co1 0.250 0.250 0.250 x4
Hg1 0.250 0.250 0.750 x4

=====

# 3
Compound: TlCoHg2
Source: Alexandria
Functional: SCAN
Structure: PBEsol geometry

Output
For the density of states at the Fermi level, the calculation gives 2.9 states/eV per cell. As for the total magnetization: 3.10 μB/cell. The calculation puts the raw total energy at -449.745 eV for the cell shown. Its relative energy among the computed polymorphs is 0.0 meV per atom.

Lattice parameters (Å, degrees): 13.440 2.933 4.413 90.00 109.07 90.00
Space group Cm (No. 8)
Symmetry-distinct sites (fractional):
Tl1 0.000 0.000 0.000 x2
Co1 0.179 0.500 0.179 x2
Hg1 0.184 0.000 0.684 x2
Hg2 0.355 0.000 0.356 x2

=====

# 4
Compound: TlCoHg
Source: Alexandria
Functional: SCAN
Structure: PBEsol geometry

Output
For the density of states at the Fermi level, the calculation gives 4.0 states/eV per cell. As for the total magnetization: 0.00 μB/cell. The calculation puts the raw total energy at -312.016 eV for the cell shown. Its relative energy among the computed polymorphs is 0.0 meV per atom.

Lattice parameters (Å, degrees): 4.244 4.244 6.273 90.00 90.10 90.00
Space group Cm (No. 8)
Symmetry-distinct sites (fractional):
Tl1 0.000 0.000 0.000 x2
Co1 0.499 0.000 0.729 x2
Hg1 0.498 0.500 0.460 x2

=====

# 5
Compound: TlCoHg2
Source: Alexandria
Functional: SCAN
Structure: PBEsol geometry

Output
For the density of states at the Fermi level, the calculation gives 3.7 states/eV per cell. As for the total magnetization: 3.09 μB/cell. The calculation puts the raw total energy at -449.357 eV for the cell shown. Its relative energy among the computed polymorphs is 48.6 meV per atom.

Lattice parameters (Å, degrees): 2.997 4.215 13.051 90.00 90.00 90.00
Space group Amm2 (No. 38)
Symmetry-distinct sites (fractional):
Tl1 0.000 0.000 0.000 x2
Co1 0.500 0.000 0.482 x2
Hg1 0.000 0.000 0.312 x2
Hg2 0.500 0.000 0.682 x2

=====

# 6
Compound: TlCoHg2
Source: Alexandria
Functional: SCAN
Structure: PBEsol geometry

Output
For the density of states at the Fermi level, the calculation gives 1.7 states/eV per cell. As for the total magnetization: 1.91 μB/cell. The calculation puts the raw total energy at -224.540 eV for the cell shown. Its relative energy among the computed polymorphs is 83.2 meV per atom.

Lattice parameters (Å, degrees): 3.646 4.380 5.349 90.00 105.16 90.00
Space group P2/m (No. 10)
Symmetry-distinct sites (fractional):
Tl1 0.000 0.000 0.000 x1
Co1 0.000 0.000 0.500 x1
Hg1 0.355 0.500 0.719 x2

=====

# 7
Compound: CoHg2W
Source: Alexandria
Functional: SCAN
Structure: PBEsol geometry

Output
For the density of states at the Fermi level, the calculation gives 4.9 states/eV per cell. As for the total magnetization: 4.96 μB/cell. The calculation puts the raw total energy at -438.971 eV for the cell shown. Its relative energy among the computed polymorphs is 258.2 meV per atom.

Lattice parameters (Å, degrees): 4.088 4.088 7.739 90.00 90.00 90.00
Space group I-4m2 (No. 119)
Symmetry-distinct sites (fractional):
Co1 0.000 0.000 0.000 x2
Hg1 0.000 0.000 0.500 x2
Hg2 0.000 0.500 0.250 x2
W1 0.000 0.500 0.750 x2

=====

# 8
Compound: CoHgW2
Source: Alexandria
Functional: SCAN
Structure: PBEsol geometry

Output
For the density of states at the Fermi level, the calculation gives 4.5 states/eV per cell. As for the total magnetization: 2.67 μB/cell. The calculation puts the raw total energy at -444.746 eV for the cell shown.

Lattice parameters (Å, degrees): 9.484 2.912 4.532 90.00 103.92 90.00
Space group C2/m (No. 12)
Symmetry-distinct sites (fractional):
Co1 0.000 0.000 0.000 x2
Hg1 0.000 0.500 0.500 x2
W1 0.239 0.500 0.230 x4

=====

# 9
Compound: CoHgW2
Source: Alexandria
Functional: SCAN
Structure: PBEsol geometry

Output
For the density of states at the Fermi level, the calculation gives 3.3 states/eV per cell. As for the total magnetization: 0.00 μB/cell. The calculation puts the raw total energy at -222.577 eV for the cell shown.

Lattice parameters (Å, degrees): 3.133 3.133 6.244 90.00 90.00 90.00
Space group P4mm (No. 99)
Symmetry-distinct sites (fractional):
Co1 0.000 0.000 0.000 x1
Hg1 0.500 0.500 0.262 x1
W1 0.000 0.000 0.564 x1
W2 0.500 0.500 0.807 x1

=====

# 10
Compound: CoHg2W
Source: Alexandria
Functional: SCAN
Structure: PBEsol geometry

Output
For the density of states at the Fermi level, the calculation gives 10.6 states/eV per cell. As for the total magnetization: 4.10 μB/cell. The calculation puts the raw total energy at -661.554 eV for the cell shown. Its relative energy among the computed polymorphs is 0.0 meV per atom.

Lattice parameters (Å, degrees): 2.8983 2.8983 27.1663 90.00 90.00 120.00
Space group R-3m (No. 166, hexagonal axes)
Symmetry-distinct sites (fractional):
Co1 0.0000 0.0000 0.0000 x3
Hg1 0.0000 0.0000 0.2552 x6
W1 0.0000 0.0000 0.5000 x3

=====

# 11
Compound: CoHgW
Source: Alexandria
Functional: SCAN
Structure: PBEsol geometry

Output
For the density of states at the Fermi level, the calculation gives 0.7 states/eV per cell. As for the total magnetization: 0.00 μB/cell. The calculation puts the raw total energy at -152.785 eV for the cell shown.

Lattice parameters (Å, degrees): 4.3317 4.3317 2.7559 90.00 90.00 120.00
Space group P3m1 (No. 156)
Symmetry-distinct sites (fractional):
Co1 0.0000 0.0000 0.0000 x1
Hg1 0.3333 0.6667 0.2532 x1
W1 0.6667 0.3333 0.7485 x1

=====

# 12
Compound: CoHgW2
Source: Alexandria
Functional: SCAN
Structure: PBEsol geometry

Output
For the density of states at the Fermi level, the calculation gives 2.2 states/eV per cell. As for the total magnetization: 1.58 μB/cell. The calculation puts the raw total energy at -222.486 eV for the cell shown.

Lattice parameters (Å, degrees): 2.749 3.610 6.199 90.00 90.00 90.00
Space group Pmmm (No. 47)
Symmetry-distinct sites (fractional):
Co1 0.000 0.000 0.000 x1
Hg1 0.000 0.000 0.500 x1
W1 0.500 0.500 0.203 x2